[1]
# FeGe2Rh | the Alexandria database | PBE-GGA | optimized geometry
data_FeGe2Rh
_cell_length_a 4.259
_cell_length_b 4.259
_cell_length_c 4.259
_cell_angle_alpha 60.00
_cell_angle_beta 60.00
_cell_angle_gamma 60.00
_symmetry_space_group_name_H-M 'P 1'
_symmetry_Int_Tables_number 1
loop_
_symmetry_equiv_pos_as_xyz
'x,y,z'
loop_
_atom_site_label
_atom_site_type_symbol
_atom_site_fract_x
_atom_site_fract_y
_atom_site_fract_z
Fe1 Fe 0.000 0.000 0.000
Ge1 Ge 0.250 0.250 0.250
Ge2 Ge 0.750 0.750 0.750
Rh1 Rh 0.500 0.500 0.500
# V: 54.6 Å³ per cell
# VASP energy: -6.3903 eV per atom
# Energy of formation from the pure elements: -0.13 eV per atom
# Total magnetic moment: 1.392 μB per formula unit
# Distance to the lowest polymorph of the same formula: 21 meV per atom

[2]
# Re3HOs | the Alexandria database | PBE-GGA | optimized geometry
data_Re3HOs
_cell_length_a 4.748
_cell_length_b 4.748
_cell_length_c 4.748
_cell_angle_alpha 90.00
_cell_angle_beta 90.00
_cell_angle_gamma 90.00
_symmetry_space_group_name_H-M 'P 1'
_symmetry_Int_Tables_number 1
loop_
_symmetry_equiv_pos_as_xyz
'x,y,z'
loop_
_atom_site_label
_atom_site_type_symbol
_atom_site_fract_x
_atom_site_fract_y
_atom_site_fract_z
Re1 Re 0.000 0.000 0.500
Re2 Re 0.000 0.500 0.000
Re3 Re 0.500 0.000 0.000
H1 H 0.500 0.500 0.500
Os1 Os 0.000 0.000 0.000
# V: 107.0 Å³ per cell
# VASP energy: -7.4965 eV per atom
# Total magnetic moment: 3.336 μB per formula unit
# Distance to the lowest polymorph of the same formula: 2743 meV per atom

[3]
# Na2ReBr6 | the Alexandria database | PBE-GGA | optimized geometry
data_Na2ReBr6
_cell_length_a 6.737
_cell_length_b 6.737
_cell_length_c 12.613
_cell_angle_alpha 90.00
_cell_angle_beta 90.00
_cell_angle_gamma 90.00
_symmetry_space_group_name_H-M 'P 1'
_symmetry_Int_Tables_number 1
loop_
_symmetry_equiv_pos_as_xyz
'x,y,z'
loop_
_atom_site_label
_atom_site_type_symbol
_atom_site_fract_x
_atom_site_fract_y
_atom_site_fract_z
Na1 Na 0.000 0.000 0.166
Na2 Na 0.000 0.000 0.834
Na3 Na 0.500 0.500 0.334
Na4 Na 0.500 0.500 0.666
Re1 Re 0.000 0.000 0.500
Re2 Re 0.500 0.500 0.000
Br1 Br 0.185 0.185 0.355
Br2 Br 0.185 0.185 0.645
Br3 Br 0.233 0.233 0.000
Br4 Br 0.267 0.733 0.500
Br5 Br 0.315 0.685 0.145
Br6 Br 0.315 0.685 0.855
Br7 Br 0.685 0.315 0.145
Br8 Br 0.685 0.315 0.855
Br9 Br 0.733 0.267 0.500
Br10 Br 0.767 0.767 0.000
Br11 Br 0.815 0.815 0.355
Br12 Br 0.815 0.815 0.645
# V: 572.5 Å³ per cell
# VASP energy: -3.5939 eV per atom
# Formation energy from raw total energies: -0.802 eV/atom
# Total magnetic moment: 3.000 μB per formula unit
# Distance to the lowest polymorph of the same formula: 34 meV per atom

[4]
# CsTl2Se2 | the Alexandria database | PBE-GGA | optimized geometry
data_CsTl2Se2
_cell_length_a 6.736
_cell_length_b 6.736
_cell_length_c 6.736
_cell_angle_alpha 130.40
_cell_angle_beta 130.40
_cell_angle_gamma 72.76
_symmetry_space_group_name_H-M 'P 1'
_symmetry_Int_Tables_number 1
loop_
_symmetry_equiv_pos_as_xyz
'x,y,z'
loop_
_atom_site_label
_atom_site_type_symbol
_atom_site_fract_x
_atom_site_fract_y
_atom_site_fract_z
Cs1 Cs 0.000 0.000 0.000
Tl1 Tl 0.351 0.351 0.000
Tl2 Tl 0.649 0.649 0.000
Se1 Se 0.250 0.750 0.500
Se2 Se 0.750 0.250 0.500
# V: 173.2 Å³ per cell
# VASP energy: -3.0537 eV per atom
# Formation energy from raw total energies: -0.543 eV/atom
# Total magnetic moment: 0.000 μB per formula unit
# Distance to the lowest polymorph of the same formula: 20 meV per atom

[5]
# Zn2GaRh | the Alexandria database | PBE-GGA | optimized geometry
data_Zn2GaRh
_cell_length_a 5.640
_cell_length_b 5.640
_cell_length_c 5.640
_cell_angle_alpha 101.65
_cell_angle_beta 101.65
_cell_angle_gamma 126.59
_symmetry_space_group_name_H-M 'P 1'
_symmetry_Int_Tables_number 1
loop_
_symmetry_equiv_pos_as_xyz
'x,y,z'
loop_
_atom_site_label
_atom_site_type_symbol
_atom_site_fract_x
_atom_site_fract_y
_atom_site_fract_z
Zn1 Zn 0.115 0.125 0.490
Zn2 Zn 0.375 0.885 0.010
Zn3 Zn 0.635 0.625 0.510
Zn4 Zn 0.875 0.365 0.990
Ga1 Ga 0.250 0.750 0.500
Ga2 Ga 0.500 0.500 0.000
Rh1 Rh 0.000 0.000 0.000
Rh2 Rh 0.750 0.250 0.500
# V: 128.7 Å³ per cell
# VASP energy: -3.2505 eV per atom
# Energy of formation from the pure elements: -0.02 eV per atom
# Total magnetic moment: 0.000 μB per formula unit

[6]
# La2MgW | the Alexandria database | PBE-GGA | optimized geometry
data_La2MgW
_cell_length_a 11.762
_cell_length_b 11.762
_cell_length_c 11.762
_cell_angle_alpha 15.72
_cell_angle_beta 15.72
_cell_angle_gamma 15.72
_symmetry_space_group_name_H-M 'P 1'
_symmetry_Int_Tables_number 1
loop_
_symmetry_equiv_pos_as_xyz
'x,y,z'
loop_
_atom_site_label
_atom_site_type_symbol
_atom_site_fract_x
_atom_site_fract_y
_atom_site_fract_z
La1 La 0.241 0.241 0.241
La2 La 0.759 0.759 0.759
Mg1 Mg 0.000 0.000 0.000
W1 W 0.500 0.500 0.500
# V: 104.1 Å³ per cell
# VASP energy: -5.4716 eV per atom
# Energy of formation from the pure elements: 0.63 eV per atom
# Total magnetic moment: 0.004 μB per formula unit
# Distance to the lowest polymorph of the same formula: 244 meV per atom